(1)
Computed, not measured: a relaxed structure of Tb4HoMg5 at the PBE level of DFT.

Output
Energy ... -3.190 eV per atom
ΔH_f (0 K) ... -1.906 kcal/mol of atoms

abc: 3.796 3.796 18.954
angles: 90.00 90.00 90.00
Space group P4/mmm (No. 123)
One atom of each set of equivalent atoms:
1 Tb 0.000 0.000 0.100 (multiplicity 2)
2 Tb 0.000 0.000 0.301 (multiplicity 2)
3 Ho 0.000 0.000 0.500 (multiplicity 1)
4 Mg 0.500 0.500 0.000 (multiplicity 1)
5 Mg 0.500 0.500 0.201 (multiplicity 2)
6 Mg 0.500 0.500 0.401 (multiplicity 2)



(2)
Computed, not measured: a relaxed structure of Tb3Ho2Mg at the PBE level of DFT.

Output
Excess energy over the best structure of this formula in the dataset ... 0 meV per atom
Energy ... -4.120 eV per atom
ΔH_f (0 K) ... -0.313 kcal/mol of atoms

abc: 3.557 3.557 14.335
angles: 90.00 90.00 90.00
Space group P4/mmm (No. 123)
One atom of each set of equivalent atoms:
1 Tb 0.000 0.000 0.000 (multiplicity 1)
2 Tb 0.000 0.000 0.346 (multiplicity 2)
3 Ho 0.500 0.500 0.175 (multiplicity 2)
4 Mg 0.500 0.500 0.500 (multiplicity 1)



(3)
Computed, not measured: a relaxed structure of Tb4Ho9Mg11 at the PBE level of DFT.

Output
Energy ... -3.243 eV per atom
ΔH_f (0 K) ... -0.546 kcal/mol of atoms

abc: 16.420 22.498 3.592
angles: 90.00 90.00 90.00
Space group Cmmm (No. 65)
One atom of each set of equivalent atoms:
1 Tb 0.166 0.083 0.000 (multiplicity 8)
2 Ho 0.000 0.000 0.000 (multiplicity 2)
3 Ho 0.112 0.233 0.000 (multiplicity 8)
4 Ho 0.112 0.404 0.000 (multiplicity 8)
5 Mg 0.000 0.133 0.500 (multiplicity 4)
6 Mg 0.000 0.319 0.500 (multiplicity 4)
7 Mg 0.000 0.500 0.500 (multiplicity 2)
8 Mg 0.210 0.500 0.500 (multiplicity 4)
9 Mg 0.232 0.320 0.500 (multiplicity 8)